This record from Alexandria describes a geometry-optimized YAu structure. The functional is PBE.

Structure (POSCAR):
```
YAu
1.0
3.9498 0.0000 0.0000
-1.9749 3.4206 0.0000
0.0000 0.0000 3.8682
Y Au
1 1
Cartesian
0.0000 0.0000 0.0000
1.9749 1.1402 1.9341
```


This record from Alexandria describes a geometry-optimized Y3Au structure. The functional is PBE.

Structure (POSCAR):
```
Y3Au
1.0
5.0521 0.0000 0.0000
0.0000 6.6763 0.0000
0.0000 0.0000 6.3749
Y Au
6 2
Cartesian
1.2630 0.0597 0.9787
1.2630 1.6691 3.8745
1.2630 3.2784 0.9787
3.7891 3.3979 5.3962
3.7891 5.0072 2.5004
3.7891 6.6166 5.3962
1.2630 5.0072 4.3484
3.7891 1.6691 2.0265
```


This record from Alexandria describes a geometry-optimized Y3Au4 structure. The functional is PBE.

Structure (POSCAR):
```
Y3Au4
1.0
2.4902 1.4377 8.2589
-2.4902 1.4377 8.2589
0.0000 -2.8755 8.2589
Y Au
3 4
Cartesian
0.0000 0.0000 0.0000
0.0000 0.0000 5.9702
0.0000 0.0000 18.8066
0.0000 0.0000 2.9814
0.0000 0.0000 9.0651
0.0000 0.0000 15.7117
0.0000 0.0000 21.7955
```


Number 1: raw total energy -5.6183 eV per atom. Number 2: raw total energy -5.9304 eV per atom. Number 3: raw total energy -5.3480 eV per atom.